# PBE-GGA UGa4Rh2, optimized geometry
# - Calculated total energy: -0.2177 hartree per atom
# - Energy of formation: -0.482 eV per atom
# - Total magnetization: 7.8 Bohr magnetons per cell
data_UGa4Rh2
_cell_length_a 17.056
_cell_length_b 4.285
_cell_length_c 6.573
_cell_angle_alpha 90.00
_cell_angle_beta 90.00
_cell_angle_gamma 90.00
_space_group_name_H-M_alt 'P n m a'
_space_group_IT_number 62
_space_group_name_Hall '-P 2ac 2n'
loop_
_atom_site_label
_atom_site_fract_x
_atom_site_fract_y
_atom_site_fract_z
U1 0.137 0.250 0.030
Ga1 0.037 0.750 0.837
Ga2 0.070 0.250 0.497
Ga3 0.186 0.750 0.339
Ga4 0.190 0.750 0.741
Rh1 0.040 0.750 0.239
Rh2 0.218 0.250 0.543